[1]
Density functional theory data (PBE-GGA) for K3Ge2H6 after structural relaxation.

N(E_F) (states/eV/cell): 1.41
Uncorrected energy (eV/f.u.): -33.68
Total magnetic moment (μB/cell): 0.00
Space group: C2/m (12)
Crystal system: monoclinic

a b c (Å): 4.7601 4.7601 12.5507
angles (deg): 91.18 91.18 69.18
Sites, in units of the cell vectors:
K: 0.0000 0.0000 0.0000
K: 0.2840 0.2840 0.6532
K: 0.7160 0.7160 0.3468
Ge: 0.3428 0.3428 0.1932
Ge: 0.6572 0.6572 0.8068
H: 0.0701 0.4994 0.1102
H: 0.1546 0.1546 0.2430
H: 0.4994 0.0701 0.1102
H: 0.5006 0.9299 0.8898
H: 0.8454 0.8454 0.7570
H: 0.9299 0.5006 0.8898

***

[2]
Density functional theory data (PBE-GGA) for PmAl4Cu2Au after structural relaxation.

N(E_F) (states/eV/cell): 3.56
Energy of formation from the pure elements (eV per atom): -0.337
Total magnetic moment (μB/cell): 0.00
Space group: R-3m (166)
Crystal system: trigonal

a b c (Å): 9.5028 9.5028 9.5028
angles (deg): 25.79 25.79 25.79
Sites, in units of the cell vectors:
Pm: 0.0000 0.0000 0.0000
Al: 0.1220 0.1220 0.1220
Al: 0.4036 0.4036 0.4036
Al: 0.5964 0.5964 0.5964
Al: 0.8780 0.8780 0.8780
Cu: 0.2509 0.2509 0.2509
Cu: 0.7491 0.7491 0.7491
Au: 0.5000 0.5000 0.5000

***

[3]
Density functional theory data (PBE-GGA) for PbC2O6 after structural relaxation.

Total magnetic moment (μB/cell): 0.00
ΔE_f (raw) (meV/atom): -1072
Space group: C2/c (15)
Crystal system: monoclinic

a b c (Å): 5.5088 5.5088 9.1356
angles (deg): 107.19 107.19 74.36
Sites, in units of the cell vectors:
Pb: 0.2174 0.7826 0.7500
Pb: 0.7826 0.2174 0.2500
C: 0.1870 0.2389 0.0622
C: 0.2389 0.1870 0.5622
C: 0.7611 0.8130 0.4378
C: 0.8130 0.7611 0.9378
O: 0.0553 0.7367 0.9413
O: 0.1561 0.2657 0.4325
O: 0.2633 0.9447 0.5587
O: 0.2657 0.1561 0.9325
O: 0.3140 0.3456 0.6942
O: 0.3456 0.3140 0.1942
O: 0.6544 0.6860 0.8058
O: 0.6860 0.6544 0.3058
O: 0.7343 0.8439 0.0675
O: 0.7367 0.0553 0.4413
O: 0.8439 0.7343 0.5675
O: 0.9447 0.2633 0.0587

***

[4]
Density functional theory data (PBE-GGA) for CaLaPCl2 after structural relaxation.

Distance to the lowest polymorph of the same formula (eV/atom): 0.0000
Total magnetic moment (μB/cell): 0.18
ΔE_f (raw) (meV/atom): -1365
Space group: P4/mmm (123)
Crystal system: tetragonal

a b c (Å): 4.9426 4.9426 5.8234
angles (deg): 90.00 90.00 90.00
Sites, in units of the cell vectors:
Ca: 0.0000 0.0000 0.0000
La: 0.5000 0.5000 0.5000
P: 0.0000 0.0000 0.5000
Cl: 0.0000 0.5000 0.0000
Cl: 0.5000 0.0000 0.0000

***

[5]
Density functional theory data (PBE-GGA) for Sr2LiO after structural relaxation.

N(E_F) (states/eV/cell): 5.82
Total magnetic moment (μB/cell): 0.00
ΔE_f (raw) (meV/atom): -1234
Space group: I-42d (122)
Crystal system: tetragonal

a b c (Å): 7.1914 7.1914 7.1914
angles (deg): 118.33 118.33 92.92
Sites, in units of the cell vectors:
Sr: 0.3750 0.2450 0.3700
Sr: 0.7550 0.1250 0.1300
Sr: 0.8750 0.0050 0.6300
Sr: 0.9950 0.6250 0.8700
Li: 0.2500 0.7500 0.5000
Li: 0.5000 0.5000 0.0000
O: 0.0000 0.0000 0.0000
O: 0.7500 0.2500 0.5000

***

[6]
Density functional theory data (PBE-GGA) for CaBe2Co2 after structural relaxation.

Distance to the lowest polymorph of the same formula (eV/atom): 0.0089
N(E_F) (states/eV/cell): 8.60
Energy of formation from the pure elements (eV per atom): 0.130
Total magnetic moment (μB/cell): 1.84
Space group: P4/mbm (127)
Crystal system: tetragonal

a b c (Å): 6.8489 6.8489 2.5623
angles (deg): 90.00 90.00 90.00
Sites, in units of the cell vectors:
Ca: 0.0000 0.0000 0.0000
Ca: 0.5000 0.5000 0.0000
Be: 0.1374 0.3626 0.5000
Be: 0.3626 0.8626 0.5000
Be: 0.6374 0.1374 0.5000
Be: 0.8626 0.6374 0.5000
Co: 0.1416 0.6416 0.0000
Co: 0.3584 0.1416 0.0000
Co: 0.6416 0.8584 0.0000
Co: 0.8584 0.3584 0.0000

***

[7]
Density functional theory data (PBE-GGA) for SrCa2Cl after structural relaxation.

Distance to the lowest polymorph of the same formula (eV/atom): 0.3407
N(E_F) (states/eV/cell): 4.64
Total magnetic moment (μB/cell): 0.00
ΔE_f (raw) (meV/atom): -451
Space group: P4/mmm (123)
Crystal system: tetragonal

a b c (Å): 4.7247 4.7247 7.2601
angles (deg): 90.00 90.00 90.00
Sites, in units of the cell vectors:
Sr: 0.0000 0.0000 0.0000
Ca: 0.0000 0.5000 0.5000
Ca: 0.5000 0.0000 0.5000
Cl: 0.5000 0.5000 0.0000

***

[8]
Density functional theory data (PBE-GGA) for CaPrGd2 after structural relaxation.

Distance to the lowest polymorph of the same formula (eV/atom): 0.0000
N(E_F) (states/eV/cell): 7.07
Energy of formation from the pure elements (eV per atom): 0.050
Total magnetic moment (μB/cell): 15.32
Space group: P4/mmm (123)
Crystal system: tetragonal

a b c (Å): 3.6696 3.6696 10.5245
angles (deg): 90.00 90.00 90.00
Sites, in units of the cell vectors:
Ca: 0.0000 0.0000 0.0000
Pr: 0.0000 0.0000 0.5000
Gd: 0.5000 0.5000 0.2653
Gd: 0.5000 0.5000 0.7347

***

> Number 8 is which compound?

CaPrGd2

***

> Which of these has the highest total magnetic moment?

CaPrGd2

***

> Which formula does entry 1 have?

K3Ge2H6